A plane-wave DFT calculation with PBE with a Hubbard U was carried out for crystalline VBi3O at its relaxed geometry.

- symmetry = Pm-3m (221)
- DOS at the Fermi energy (states/eV/f.u.) = 2.7

a b c (Å): 5.2217 5.2217 5.2217
angles (deg): 90.00 90.00 90.00
With the nearest neighbours (Å) after each atom.
Fractional coordinates of all 5 atoms:
O 0.5000 0.5000 0.5000  12 Bi 3.69
Bi 0.0000 0.0000 0.5000  2 V 2.61
Bi 0.5000 0.0000 0.0000  2 V 2.61
Bi 0.0000 0.5000 0.0000  2 V 2.61
V 0.0000 0.0000 0.0000  6 Bi 2.61

=====

A plane-wave DFT calculation with PBE with a Hubbard U was carried out for crystalline VBiO2 at its relaxed geometry.

- symmetry = I4_1/amd (141)
- DOS at the Fermi energy (states/eV/f.u.) = 0.9

a b c (Å): 5.9374 5.9374 5.9498
angles (deg): 60.07 60.07 90.00
With the nearest neighbours (Å) after each atom.
Fractional coordinates of all 8 atoms:
V 0.5000 0.5000 0.0000  4 O 1.82
O 0.8750 0.6256 0.7500  2 V 1.82
Bi 0.7500 0.2500 0.5000  12 O 3.48-3.49, 4 Bi 3.64, 4 V 3.64
O 0.3756 0.1250 0.2500  2 V 1.82
Bi 0.0000 0.0000 0.0000  12 O 3.48-3.49, 4 Bi 3.64, 4 V 3.64
O 0.3750 0.6244 0.7500  2 V 1.82
O 0.3744 0.6250 0.2500  2 V 1.82
V 0.2500 0.7500 0.5000  4 O 1.82

=====

A plane-wave DFT calculation with PBE with a Hubbard U was carried out for crystalline VBiO3 at its relaxed geometry.

- symmetry = Pm-3m (221)
- DOS at the Fermi energy (states/eV/f.u.) = 4.5

a b c (Å): 3.9399 3.9399 3.9399
angles (deg): 90.00 90.00 90.00
With the nearest neighbours (Å) after each atom.
Fractional coordinates of all 5 atoms:
V 0.0000 0.0000 0.0000  6 O 1.97
O 0.0000 0.0000 0.5000  2 V 1.97
O 0.0000 0.5000 0.0000  2 V 1.97
Bi 0.5000 0.5000 0.5000  12 O 2.79
O 0.5000 0.0000 0.0000  2 V 1.97

=====

A plane-wave DFT calculation with PBE with a Hubbard U was carried out for crystalline V3BiO8 at its relaxed geometry.

- symmetry = Cm (8)

a b c (Å): 3.8355 7.2387 6.6665
angles (deg): 110.07 106.72 90.00
With the nearest neighbours (Å) after each atom.
Fractional coordinates of all 12 atoms:
O 0.5510 0.2899 0.1019  1 V 1.71
Bi 0.3247 0.7167 0.6493  5 O 2.21-2.44
O 0.2374 0.3404 0.4748  3 V 2.02-2.06
O 0.1461 0.7249 0.2922  2 V 1.96
V 0.3854 0.2873 0.7708  1 O 1.70
O 0.3422 0.0369 0.6845  1 V 1.70
O 0.4812 0.5995 0.9625  1 V 1.71
O 0.8561 0.3304 0.7123  3 V 2.00-2.09
O 0.6330 0.9881 0.2661  1 V 1.70
V 0.6854 0.2907 0.3708  1 O 1.71
O 0.7357 0.6193 0.4715  2 V 2.00-2.23, 2 Bi 2.21
V 0.6199 0.7455 0.2399  2 O 1.70-1.71

=====

A plane-wave DFT calculation with PBE with a Hubbard U was carried out for crystalline VBi3O at its relaxed geometry.

- symmetry = Pm-3m (221)
- DOS at the Fermi energy (states/eV/f.u.) = 3.9

a b c (Å): 4.9215 4.9215 4.9215
angles (deg): 90.00 90.00 90.00
With the nearest neighbours (Å) after each atom.
Fractional coordinates of all 5 atoms:
Bi 0.5000 0.0000 0.0000  2 O 2.46
V 0.5000 0.5000 0.5000  12 Bi 3.48
Bi 0.0000 0.0000 0.5000  2 O 2.46
O 0.0000 0.0000 0.0000  6 Bi 2.46
Bi 0.0000 0.5000 0.0000  2 O 2.46

=====

A plane-wave DFT calculation with PBE with a Hubbard U was carried out for crystalline VBiO3 at its relaxed geometry.

- symmetry = Pm-3m (221)
- DOS at the Fermi energy (states/eV/f.u.) = 6.3

a b c (Å): 4.2838 4.2838 4.2838
angles (deg): 90.00 90.00 90.00
With the nearest neighbours (Å) after each atom.
Fractional coordinates of all 5 atoms:
Bi 0.0000 0.0000 0.0000  6 O 2.14
O 0.0000 0.5000 0.0000  2 Bi 2.14
O 0.0000 0.0000 0.5000  2 Bi 2.14
O 0.5000 0.0000 0.0000  2 Bi 2.14
V 0.5000 0.5000 0.5000  12 O 3.03

=====

no.,total magnetic moment (μB/f.u.),E (Ry per atom)
1,0.2,-0.288
2,1.1,-0.472
3,1.9,-0.487
4,2.0,-0.528
5,3.1,-0.340
6,3.2,-0.408